(1)
The following is a GGA-PBE calculation of a geometry-optimized SmLuCu2Sn2 structure, from OQMD via LeMat-Bulk.

Calculated values
As for the total energy: -4.697 eV/atom.

Cell: 4.5408 4.5408 7.2354 Å, 90.00 90.00 120.00°
Space group P3m1 (No. 156)
Unique sites:
Sm 0.0000 0.0000 0.0000 x1
Lu 0.0000 0.0000 0.4987 x1
Cu 0.3333 0.6667 0.8036 x1
Cu 0.6667 0.3333 0.3291 x1
Sn 0.3333 0.6667 0.2386 x1
Sn 0.6667 0.3333 0.7224 x1

---

(2)
The following is a GGA-PBE calculation of a geometry-optimized SmLu2Cu4Sn4 structure, from OQMD via LeMat-Bulk.

Calculated values
As for the total energy: -4.529 eV/atom.

Cell: 4.3982 7.0277 14.6001 Å, 90.00 90.00 90.00°
Space group Immm (No. 71)
Unique sites:
Sm 0.0000 0.0000 0.0000 x2
Lu 0.0000 0.5000 0.1302 x4
Cu 0.0000 0.3104 0.3292 x8
Sn 0.0000 0.0000 0.2188 x4
Sn 0.0000 0.1987 0.5000 x4